Entry 1:
Compound: HfZr4H10
Source: Alexandria via LeMat-Bulk
Functional: PBE
Structure: optimized geometry

Cell lengths 5.7560, 5.7560, 5.7560 Å; angles 101.43, 101.43, 127.12 degrees
With the nearest neighbours (Å) after each atom.
Element x y z (fractional)
Hf  0.0000  0.0000  0.0000  8 H 2.05
Zr  0.2004  0.3996  0.6000  8 H 2.08-2.09
Zr  0.3996  0.7996  0.1992  8 H 2.08-2.09
Zr  0.6004  0.2004  0.8008  8 H 2.08-2.09
Zr  0.7996  0.6004  0.4000  8 H 2.08-2.09
H  0.0488  0.3449  0.9011  1 Hf 2.05, 3 Zr 2.08-2.09, 2 H 2.28
H  0.1477  0.0488  0.7039  1 Hf 2.05, 3 Zr 2.08-2.09, 2 H 2.28
H  0.2500  0.7500  0.5000  4 Zr 2.08, 4 H 2.32
H  0.3449  0.4438  0.2961  1 Hf 2.05, 3 Zr 2.08-2.09, 2 H 2.28
H  0.4438  0.1477  0.0989  1 Hf 2.05, 3 Zr 2.08-2.09, 2 H 2.28
H  0.5562  0.8523  0.9011  1 Hf 2.05, 3 Zr 2.08-2.09, 2 H 2.28
H  0.6551  0.5562  0.7039  1 Hf 2.05, 3 Zr 2.08-2.09, 2 H 2.28
H  0.7500  0.2500  0.5000  4 Zr 2.08, 4 H 2.32
H  0.8523  0.9512  0.2961  1 Hf 2.05, 3 Zr 2.08-2.09, 2 H 2.28
H  0.9512  0.6551  0.0989  1 Hf 2.05, 3 Zr 2.08-2.09, 2 H 2.28

Summary:
* VASP energy: -5.740 eV per atom
* symmetry: No. 87
* volume: 9.077 A^3/atom

***

Entry 2:
Compound: Hf3Zr5H12
Source: Alexandria via LeMat-Bulk
Functional: PBE
Structure: optimized geometry

Cell lengths 10.2921, 10.2921, 10.2921 Å; angles 109.47, 109.47, 109.47 degrees
With the nearest neighbours (Å) after each atom.
Element x y z (fractional)
Hf  0.1250  0.2500  0.3750  8 H 2.07-2.14
Hf  0.1250  0.3750  0.7500  8 H 2.07-2.14
Hf  0.2500  0.3750  0.1250  8 H 2.07-2.14
Hf  0.2500  0.8750  0.6250  8 H 2.07-2.14
Hf  0.3750  0.1250  0.2500  8 H 2.07-2.14
Hf  0.3750  0.7500  0.1250  8 H 2.07-2.14
Hf  0.6250  0.2500  0.8750  8 H 2.07-2.14
Hf  0.6250  0.8750  0.7500  8 H 2.07-2.14
Hf  0.7500  0.1250  0.3750  8 H 2.07-2.14
Hf  0.7500  0.6250  0.8750  8 H 2.07-2.14
Hf  0.8750  0.6250  0.2500  8 H 2.07-2.14
Hf  0.8750  0.7500  0.6250  8 H 2.07-2.14
Zr  0.0000  0.0000  0.0000  6 H 2.03
Zr  0.0000  0.0000  0.5000  6 H 2.03
Zr  0.0000  0.5000  0.0000  6 H 2.03
Zr  0.0000  0.5000  0.5000  6 H 2.03
Zr  0.1250  0.7500  0.8750  4 H 2.04
Zr  0.1250  0.8750  0.2500  4 H 2.04
Zr  0.2500  0.1250  0.8750  4 H 2.04
Zr  0.2500  0.6250  0.3750  4 H 2.04
Zr  0.3750  0.2500  0.6250  4 H 2.04
Zr  0.3750  0.6250  0.7500  4 H 2.04
Zr  0.5000  0.0000  0.0000  6 H 2.03
Zr  0.5000  0.0000  0.5000  6 H 2.03
Zr  0.5000  0.5000  0.0000  6 H 2.03
Zr  0.5000  0.5000  0.5000  6 H 2.03
Zr  0.6250  0.3750  0.2500  4 H 2.04
Zr  0.6250  0.7500  0.3750  4 H 2.04
Zr  0.7500  0.3750  0.6250  4 H 2.04
Zr  0.7500  0.8750  0.1250  4 H 2.04
Zr  0.8750  0.1250  0.7500  4 H 2.04
Zr  0.8750  0.2500  0.1250  4 H 2.04
H  0.0710  0.2274  0.1529  2 Zr 2.03-2.04, 1 H 2.05, 2 Hf 2.07-2.14
H  0.0710  0.3436  0.9181  2 Zr 2.03-2.04, 1 H 2.05, 2 Hf 2.07-2.14
H  0.0745  0.7274  0.6564  2 Zr 2.03-2.04, 1 H 2.05, 2 Hf 2.07-2.14
H  0.0745  0.8471  0.4181  2 Zr 2.03-2.04, 1 H 2.05, 2 Hf 2.07-2.14
H  0.0819  0.6529  0.4255  2 Zr 2.03-2.04, 1 H 2.05, 2 Hf 2.07-2.14
H  0.0819  0.9290  0.6564  2 Zr 2.03-2.04, 1 H 2.05, 2 Hf 2.07-2.14
H  0.1529  0.0710  0.2274  2 Zr 2.03-2.04, 1 H 2.05, 2 Hf 2.07-2.14
H  0.1529  0.5819  0.9255  2 Zr 2.03-2.04, 1 H 2.05, 2 Hf 2.07-2.14
H  0.1564  0.2274  0.5745  2 Zr 2.03-2.04, 1 H 2.05, 2 Hf 2.07-2.14
H  0.1564  0.4290  0.5819  2 Zr 2.03-2.04, 1 H 2.05, 2 Hf 2.07-2.14
H  0.2274  0.1529  0.0710  2 Zr 2.03-2.04, 1 H 2.05, 2 Hf 2.07-2.14
H  0.2274  0.5745  0.1564  2 Zr 2.03-2.04, 1 H 2.05, 2 Hf 2.07-2.14
H  0.2726  0.3436  0.9255  2 Zr 2.03-2.04, 1 H 2.05, 2 Hf 2.07-2.14
H  0.2726  0.4290  0.3471  2 Zr 2.03-2.04, 1 H 2.05, 2 Hf 2.07-2.14
H  0.3436  0.9181  0.0710  2 Zr 2.03-2.04, 1 H 2.05, 2 Hf 2.07-2.14
H  0.3436  0.9255  0.2726  2 Zr 2.03-2.04, 1 H 2.05, 2 Hf 2.07-2.14
H  0.3471  0.2726  0.4290  2 Zr 2.03-2.04, 1 H 2.05, 2 Hf 2.07-2.14
H  0.3471  0.5745  0.9181  2 Zr 2.03-2.04, 1 H 2.05, 2 Hf 2.07-2.14
H  0.4181  0.0745  0.8471  2 Zr 2.03-2.04, 1 H 2.05, 2 Hf 2.07-2.14
H  0.4181  0.8436  0.5710  2 Zr 2.03-2.04, 1 H 2.05, 2 Hf 2.07-2.14
H  0.4255  0.0819  0.6529  2 Zr 2.03-2.04, 1 H 2.05, 2 Hf 2.07-2.14
H  0.4255  0.8436  0.7726  2 Zr 2.03-2.04, 1 H 2.05, 2 Hf 2.07-2.14
H  0.4290  0.3471  0.2726  2 Zr 2.03-2.04, 1 H 2.05, 2 Hf 2.07-2.14
H  0.4290  0.5819  0.1564  2 Zr 2.03-2.04, 1 H 2.05, 2 Hf 2.07-2.14
H  0.5710  0.4181  0.8436  2 Zr 2.03-2.04, 1 H 2.05, 2 Hf 2.07-2.14
H  0.5710  0.6529  0.7274  2 Zr 2.03-2.04, 1 H 2.05, 2 Hf 2.07-2.14
H  0.5745  0.1564  0.2274  2 Zr 2.03-2.04, 1 H 2.05, 2 Hf 2.07-2.14
H  0.5745  0.9181  0.3471  2 Zr 2.03-2.04, 1 H 2.05, 2 Hf 2.07-2.14
H  0.5819  0.1564  0.4290  2 Zr 2.03-2.04, 1 H 2.05, 2 Hf 2.07-2.14
H  0.5819  0.9255  0.1529  2 Zr 2.03-2.04, 1 H 2.05, 2 Hf 2.07-2.14
H  0.6529  0.4255  0.0819  2 Zr 2.03-2.04, 1 H 2.05, 2 Hf 2.07-2.14
H  0.6529  0.7274  0.5710  2 Zr 2.03-2.04, 1 H 2.05, 2 Hf 2.07-2.14
H  0.6564  0.0745  0.7274  2 Zr 2.03-2.04, 1 H 2.05, 2 Hf 2.07-2.14
H  0.6564  0.0819  0.9290  2 Zr 2.03-2.04, 1 H 2.05, 2 Hf 2.07-2.14
H  0.7274  0.5710  0.6529  2 Zr 2.03-2.04, 1 H 2.05, 2 Hf 2.07-2.14
H  0.7274  0.6564  0.0745  2 Zr 2.03-2.04, 1 H 2.05, 2 Hf 2.07-2.14
H  0.7726  0.4255  0.8436  2 Zr 2.03-2.04, 1 H 2.05, 2 Hf 2.07-2.14
H  0.7726  0.8471  0.9290  2 Zr 2.03-2.04, 1 H 2.05, 2 Hf 2.07-2.14
H  0.8436  0.5710  0.4181  2 Zr 2.03-2.04, 1 H 2.05, 2 Hf 2.07-2.14
H  0.8436  0.7726  0.4255  2 Zr 2.03-2.04, 1 H 2.05, 2 Hf 2.07-2.14
H  0.8471  0.4181  0.0745  2 Zr 2.03-2.04, 1 H 2.05, 2 Hf 2.07-2.14
H  0.8471  0.9290  0.7726  2 Zr 2.03-2.04, 1 H 2.05, 2 Hf 2.07-2.14
H  0.9181  0.0710  0.3436  2 Zr 2.03-2.04, 1 H 2.05, 2 Hf 2.07-2.14
H  0.9181  0.3471  0.5745  2 Zr 2.03-2.04, 1 H 2.05, 2 Hf 2.07-2.14
H  0.9255  0.1529  0.5819  2 Zr 2.03-2.04, 1 H 2.05, 2 Hf 2.07-2.14
H  0.9255  0.2726  0.3436  2 Zr 2.03-2.04, 1 H 2.05, 2 Hf 2.07-2.14
H  0.9290  0.6564  0.0819  2 Zr 2.03-2.04, 1 H 2.05, 2 Hf 2.07-2.14
H  0.9290  0.7726  0.8471  2 Zr 2.03-2.04, 1 H 2.05, 2 Hf 2.07-2.14

Summary:
* VASP energy: -6.095 eV per atom
* symmetry: No. 230
* volume: 10.491 A^3/atom

***

Entry 3:
Compound: Hf2Zr2H3
Source: Alexandria via LeMat-Bulk
Functional: PBE
Structure: optimized geometry

Cell lengths 6.1282, 5.8609, 6.1424 Å; angles 90.00, 120.01, 90.00 degrees
With the nearest neighbours (Å) after each atom.
Element x y z (fractional)
Hf  0.1256  0.1326  0.3836  3 H 2.16-2.22
Hf  0.1256  0.3674  0.8836  3 H 2.16-2.22
Hf  0.8744  0.6326  0.1164  3 H 2.16-2.22
Hf  0.8744  0.8674  0.6164  3 H 2.16-2.22
Zr  0.3718  0.6266  0.6281  4 H 2.14-2.24
Zr  0.3718  0.8734  0.1281  4 H 2.14-2.24
Zr  0.6282  0.1266  0.8719  4 H 2.14-2.24
Zr  0.6282  0.3734  0.3719  4 H 2.14-2.24
H  0.0000  0.0000  0.0000  2 Zr 2.14, 2 Hf 2.22
H  0.0000  0.5000  0.5000  2 Zr 2.14, 2 Hf 2.22
H  0.2637  0.5567  0.2289  2 Hf 2.16-2.17, 3 Zr 2.16-2.24
H  0.2637  0.9433  0.7289  2 Hf 2.16-2.17, 3 Zr 2.16-2.24
H  0.7363  0.0567  0.2711  2 Hf 2.16-2.17, 3 Zr 2.16-2.24
H  0.7363  0.4433  0.7711  2 Hf 2.16-2.17, 3 Zr 2.16-2.24

Summary:
* VASP energy: -6.928 eV per atom
* symmetry: No. 14
* volume: 13.646 A^3/atom

***

Entry 4:
Compound: Hf4ZrH5
Source: Alexandria via LeMat-Bulk
Functional: PBE
Structure: optimized geometry

Cell lengths 3.3070, 3.3070, 13.6424 Å; angles 96.88, 96.88, 60.06 degrees
With the nearest neighbours (Å) after each atom.
Element x y z (fractional)
Hf  0.0000  0.0000  0.0000  4 H 2.01-2.02
Hf  0.2010  0.2010  0.6033  4 H 2.02
Hf  0.6004  0.6004  0.8018  4 H 2.02-2.03
Hf  0.8015  0.8015  0.4048  4 H 2.01-2.03
Zr  0.4006  0.4006  0.2023  4 H 2.04-2.05
H  0.0494  0.0494  0.1491  1 Hf 2.01, 3 Zr 2.04
H  0.2506  0.2506  0.7525  4 Hf 2.02
H  0.4512  0.4512  0.3542  3 Hf 2.03, 1 Zr 2.05
H  0.6505  0.6505  0.9517  4 Hf 2.02-2.03
H  0.8510  0.8510  0.5536  4 Hf 2.01-2.02

Summary:
* symmetry: No. 8
* volume: 12.804 A^3/atom
* excess energy over the best structure of this formula in the dataset: 0.000 eV per atom

***

Entry 5:
Compound: Hf3ZrH8
Source: Alexandria via LeMat-Bulk
Functional: PBE
Structure: optimized geometry

Cell lengths 6.0259, 6.0259, 6.0259 Å; angles 135.67, 135.67, 64.49 degrees
With the nearest neighbours (Å) after each atom.
Element x y z (fractional)
Hf  0.0000  0.0000  0.0000  8 H 2.05
Hf  0.2500  0.7500  0.5000  8 H 2.04
Hf  0.7500  0.2500  0.5000  8 H 2.04
Zr  0.5000  0.5000  0.0000  8 H 2.08
H  0.1202  0.1202  0.4940  3 Hf 2.04-2.05, 1 Zr 2.08, 2 H 2.25
H  0.1202  0.6262  0.0000  3 Hf 2.04-2.05, 1 Zr 2.08, 2 H 2.25
H  0.3738  0.3738  0.4940  3 Hf 2.04-2.05, 1 Zr 2.08, 2 H 2.25
H  0.3738  0.8798  0.0000  3 Hf 2.04-2.05, 1 Zr 2.08, 2 H 2.25
H  0.6262  0.1202  0.0000  3 Hf 2.04-2.05, 1 Zr 2.08, 2 H 2.25
H  0.6262  0.6262  0.5060  3 Hf 2.04-2.05, 1 Zr 2.08, 2 H 2.25
H  0.8798  0.3738  0.0000  3 Hf 2.04-2.05, 1 Zr 2.08, 2 H 2.25
H  0.8798  0.8798  0.5060  3 Hf 2.04-2.05, 1 Zr 2.08, 2 H 2.25

Summary:
* VASP energy: -5.962 eV per atom
* symmetry: No. 139
* volume: 8.780 A^3/atom

***

Entry 6:
Compound: HfZr3H3
Source: Alexandria via LeMat-Bulk
Functional: PBE
Structure: optimized geometry

Cell lengths 6.6038, 6.6038, 4.4750 Å; angles 90.00, 90.00, 99.57 degrees
With the nearest neighbours (Å) after each atom.
Element x y z (fractional)
Hf  0.1177  0.8823  0.7500  3 H 2.14-2.17
Hf  0.8823  0.1177  0.2500  3 H 2.14-2.17
Zr  0.1340  0.3707  0.7500  4 H 2.17-2.25
Zr  0.3628  0.6372  0.2500  4 H 2.17-2.26
Zr  0.3707  0.1340  0.2500  4 H 2.17-2.25
Zr  0.6293  0.8660  0.7500  4 H 2.17-2.25
Zr  0.6372  0.3628  0.7500  4 H 2.17-2.26
Zr  0.8660  0.6293  0.2500  4 H 2.17-2.25
H  0.1512  0.3491  0.2500  1 Hf 2.14, 4 Zr 2.17-2.25
H  0.3333  0.6667  0.7500  4 Zr 2.17-2.26, 1 Hf 2.17
H  0.3491  0.1512  0.7500  1 Hf 2.14, 4 Zr 2.17-2.25
H  0.6509  0.8488  0.2500  1 Hf 2.14, 4 Zr 2.17-2.25
H  0.6667  0.3333  0.2500  4 Zr 2.17-2.26, 1 Hf 2.17
H  0.8488  0.6509  0.7500  1 Hf 2.14, 4 Zr 2.17-2.25

Summary:
* VASP energy: -6.792 eV per atom
* symmetry: No. 63
* volume: 13.746 A^3/atom

***

Entry 7:
Compound: Hf2ZrH8
Source: Alexandria via LeMat-Bulk
Functional: PBE
Structure: optimized geometry

Cell lengths 5.7198, 5.7198, 5.7198 Å; angles 148.54, 121.48, 67.96 degrees
With the nearest neighbours (Å) after each atom.
Element x y z (fractional)
Hf  0.1710  0.1710  0.0000  10 H 2.06-2.16
Hf  0.8290  0.8290  0.0000  10 H 2.06-2.16
Zr  0.5000  0.5000  0.0000  12 H 2.13-2.24
H  0.0766  0.3352  0.7414  3 Hf 2.06-2.13, 7 H 2.07-2.24, 1 Zr 2.13
H  0.2263  0.0000  0.2263  2 Hf 2.06, 2 Zr 2.18, 6 H 2.20-2.22
H  0.3303  0.8303  0.5000  8 H 2.07-2.22, 2 Hf 2.16, 2 Zr 2.24
H  0.4062  0.6648  0.7414  3 Hf 2.06-2.13, 7 H 2.07-2.24, 1 Zr 2.13
H  0.5938  0.3352  0.2586  3 Hf 2.06-2.13, 7 H 2.07-2.24, 1 Zr 2.13
H  0.6697  0.1697  0.5000  8 H 2.07-2.22, 2 Hf 2.16, 2 Zr 2.24
H  0.7737  0.0000  0.7737  2 Hf 2.06, 2 Zr 2.18, 6 H 2.20-2.22
H  0.9234  0.6648  0.2586  3 Hf 2.06-2.13, 7 H 2.07-2.24, 1 Zr 2.13

Summary:
* VASP energy: -5.343 eV per atom
* symmetry: No. 71
* volume: 7.476 A^3/atom

***

Entry 8:
Compound: Hf3ZrH3
Source: Alexandria via LeMat-Bulk
Functional: PBE
Structure: optimized geometry

Cell lengths 6.5546, 6.5546, 4.4752 Å; angles 90.00, 90.00, 100.52 degrees
With the nearest neighbours (Å) after each atom.
Element x y z (fractional)
Hf  0.1334  0.8666  0.7500  4 H 2.12-2.25
Hf  0.1351  0.3663  0.7500  4 H 2.10-2.25
Hf  0.3663  0.1351  0.2500  4 H 2.10-2.25
Hf  0.6337  0.8649  0.7500  4 H 2.10-2.25
Hf  0.8649  0.6337  0.2500  4 H 2.10-2.25
Hf  0.8666  0.1334  0.2500  4 H 2.12-2.25
Zr  0.3699  0.6301  0.2500  3 H 2.15-2.16
Zr  0.6301  0.3699  0.7500  3 H 2.15-2.16
H  0.1555  0.8445  0.2500  4 Hf 2.14-2.25, 1 Zr 2.16
H  0.1555  0.3401  0.2500  4 Hf 2.10-2.25, 1 Zr 2.15
H  0.3401  0.1555  0.7500  4 Hf 2.10-2.25, 1 Zr 2.15
H  0.6599  0.8445  0.2500  4 Hf 2.10-2.25, 1 Zr 2.15
H  0.8445  0.6599  0.7500  4 Hf 2.10-2.25, 1 Zr 2.15
H  0.8445  0.1555  0.7500  4 Hf 2.14-2.25, 1 Zr 2.16

Summary:
* VASP energy: -7.145 eV per atom
* symmetry: No. 63
* volume: 13.502 A^3/atom